[1]
{
  "formula": "LaY2SbO8",
  "functional": "PBE-GGA",
  "state": "relaxed",
  "lattice": [[-3.2149, -0.5059, 2.6760], [0.3958, -5.1771, -1.0013], [4.7875, -0.7208, 5.6164]],
  "species": ["O", "Sb", "O", "O", "La", "O", "O", "O", "Y", "O", "O", "Y"],
  "frac_coords": [[0.5883, 0.7854, 0.9999], [0.0000, 0.0000, 0.0000], [0.9372, 0.2444, 0.2088], [0.4117, 0.2146, 0.0001], [0.0000, 0.0000, 0.5000], [0.4840, 0.2607, 0.5000], [0.0627, 0.7556, 0.2089], [0.0628, 0.7556, 0.7912], [0.4999, 0.4999, 0.7583], [0.5160, 0.7393, 0.5000], [0.9373, 0.2444, 0.7911], [0.5001, 0.5001, 0.2417]],
  "formation_energy_uncorrected_mev_per_atom": -2455,
  "e_tot_ev_per_atom": -7.592,
  "sg": "P2/m"
}



[2]
{
  "formula": "KBaW2",
  "functional": "PBE-GGA",
  "state": "relaxed",
  "lattice": [[3.1742, 0.0005, 0.0000], [-1.3025, 2.8947, 0.0000], [0.0000, 0.0000, 11.9370]],
  "species": ["W", "K", "Ba", "W"],
  "frac_coords": [[0.5000, 0.5000, 0.2044], [0.5000, 0.5000, 0.7940], [0.0000, 0.0000, 0.4477], [0.0000, 0.0000, 0.0540]],
  "formation_enthalpy_0k_ev_per_atom": 1.12,
  "e_tot_ev_per_atom": -6.111,
  "sg": "Cmm2",
  "e_above_lowest_polymorph_ev_per_atom": 0.226
}